Material: ScMnSbO6
Method: DFT, PBE with a Hubbard U
State: optimized geometry Values from VASP.

DFT total energy   -63.696 eV/f.u.
Calculated volume   11.120 Å³/atom

```
&SYSTEM
  ibrav = 0, nat = 18, ntyp = 4
/
ATOMIC_SPECIES
O 16.00 O.upf
Mn 54.94 Mn.upf
Sb 121.76 Sb.upf
Sc 44.96 Sc.upf
CELL_PARAMETERS angstrom
5.1835 0.0000 0.0000
-2.5917 4.4890 0.0000
0.0000 0.0000 8.6021
ATOMIC_POSITIONS crystal
O 0.6811 0.6683 0.6226
O 0.3189 0.3317 0.3774
Mn 0.0000 0.0000 0.5000
O 0.0128 0.6811 0.3774
O 0.9872 0.6683 0.8774
O 0.0128 0.3317 0.1226
O 0.3189 0.9872 0.1226
O 0.3317 0.0128 0.6226
O 0.6811 0.0128 0.8774
Sb 0.6667 0.3333 0.7500
Mn 0.0000 0.0000 0.0000
Sb 0.3333 0.6667 0.2500
O 0.9872 0.3189 0.6226
O 0.3317 0.3189 0.8774
O 0.6683 0.9872 0.3774
Sc 0.6667 0.3333 0.2500
Sc 0.3333 0.6667 0.7500
O 0.6683 0.6811 0.1226
```